TbPm2DyTm6: optimized geometry, PBE.

Results
crystal system: monoclinic
D(E_F): 27.0 states/eV per cell
formation enthalpy at 0 K: 0.12 eV/atom

```
20
Lattice="-6.4762 -5.6576 -4.2451 6.4905 -5.7450 -0.6748 -4.3056 0.4496 7.5397" Properties=species:S:1:pos:R:3 pbc="T T T"
Tb 4.6665 -7.0419 -1.5801
Tb -8.9579 -3.9112 4.1999
Pm -0.7486 -6.9047 2.8140
Pm 0.8191 -1.8643 1.0735
Pm -3.5427 -4.0484 -0.1942
Pm -5.1104 -9.0887 1.5464
Dy -1.5328 -3.4848 3.1368
Dy -2.7585 -7.4682 -0.5169
Tm -2.7628 -0.7100 5.2813
Tm -4.9710 -3.5811 4.5442
Tm -1.5285 -10.2431 -2.6615
Tm 0.6797 -7.3720 -1.9243
Tm 2.4754 -7.1970 1.2095
Tm 2.4297 -4.3460 -1.0006
Tm -6.7667 -3.7561 1.4103
Tm -6.7210 -6.6070 3.6204
Tm 1.6881 -4.5183 2.7565
Tm -0.4530 -4.9190 0.2447
Tm -5.9794 -6.4348 -0.1367
Tm -3.8384 -6.0341 2.3751
```